Record 1
A plane-wave DFT calculation with GGA-PBE was carried out for a relaxed Li2AlPd2 crystal.

```
Li2AlPd2
1.0
-3.9518 -4.2824 -2.5474
4.6332 -1.9616 -3.8898
1.1427 -2.6630 2.7041
Li Pd Al
4 4 2
Cartesian
-0.0521 -3.1071 -0.1331
2.9953 -3.2960 -1.6069
-1.1711 -5.6111 -2.1262
1.8763 -5.8000 -3.6000
1.0454 -1.3245 -1.7461
-0.3639 -4.9196 -4.6911
2.5564 -3.1782 -4.2103
-1.8750 -3.0658 -2.2269
0.0000 0.0000 0.0000
0.3407 -3.1220 -3.2186
```

Summary:
- crystal system = tetragonal
- energy relative to the elements (eV per atom) = -0.51
- VASP energy (eV per atom) = -4.097
- space group = P4/mbm, No. 127
- magnetization (Bohr magnetons per cell) = 0.00
- ρ (Mg/m³) = 5.3
- offset from the most stable computed form (eV per atom) = 0.115

Record 2
A plane-wave DFT calculation with GGA-PBE was carried out for a relaxed CePmGaRu crystal.

```
CePmGaRu
1.0
-3.9569 1.0824 0.7547
-0.8995 -0.7921 -3.5796
0.7380 -6.1598 1.1776
Ga Pm Ru Ce
1 1 1 1
Cartesian
-2.5889 -0.5830 -1.2109
-0.3769 -1.7072 0.4725
-1.0169 -4.6061 1.2748
-3.3545 -4.0507 -0.2512
```

Summary:
- crystal system = orthorhombic
- energy relative to the elements (eV per atom) = -0.49
- VASP energy (eV per atom) = -6.236
- space group = Amm2, No. 38
- magnetization (Bohr magnetons per cell) = 0.00
- ρ (Mg/m³) = 8.1
- offset from the most stable computed form (eV per atom) = 0.000

Record 3
A plane-wave DFT calculation with GGA-PBE was carried out for a relaxed CaZnSb crystal.

```
CaZnSb
1.0
-1.2253 2.1298 5.3807
-4.3076 2.5303 3.1788
-1.8018 -2.6962 1.9984
Zn Sb Ca
1 1 1
Cartesian
-2.9715 -0.3901 4.0552
-4.3702 2.3677 6.5149
-5.5259 4.6463 8.5472
```

Summary:
- crystal system = orthorhombic
- VASP energy (eV per atom) = -2.834
- formation energy (no corrections) (eV per formula unit) = -1.1
- space group = Fmm2, No. 42
- magnetization (Bohr magnetons per cell) = 0.00
- ρ (Mg/m³) = 4.9